# 1
MnHg3P: optimized geometry, PBE.

Calculated values
DOS at the Fermi energy (states/eV/atom): 0.6539
Offset from the most stable computed form (eV/atom): 0.1639
Space group: Pm-3m (221)
Total energy (eV per atom): -2.228

abc: 5.2172 5.2172 5.2172
angles: 90.00 90.00 90.00
Last column: nearest neighbours and their distance in Å.
Fractional positions:
Mn1 0.0000 0.0000 0.0000  6 Hg 2.61
Hg1 0.0000 0.0000 0.5000  2 Mn 2.61
Hg2 0.0000 0.5000 0.0000  2 Mn 2.61
Hg3 0.5000 0.0000 0.0000  2 Mn 2.61
P1 0.5000 0.5000 0.5000  12 Hg 3.69

=====

# 2
Mn2HgP: optimized geometry, PBE.

Calculated values
DOS at the Fermi energy (states/eV/atom): 0.8620
Space group: I4/mmm (139)
Total energy (eV per atom): -5.663

abc: 4.7366 4.7366 4.7366
angles: 128.11 128.11 76.44
Last column: nearest neighbours and their distance in Å.
Fractional positions:
Mn1 0.2500 0.7500 0.5000  4 Hg 2.78, 4 P 2.78, 4 Mn 2.93
Mn2 0.7500 0.2500 0.5000  4 Hg 2.78, 4 P 2.78, 4 Mn 2.93
Hg1 0.0000 0.0000 0.0000  8 Mn 2.78, 4 P 2.93
P1 0.5000 0.5000 0.0000  8 Mn 2.78, 4 Hg 2.93

=====

# 3
MnHgP2: optimized geometry, PBE.

Calculated values
DOS at the Fermi energy (states/eV/atom): 0.3299
Space group: P4mm (99)
Total energy (eV per atom): -4.878

abc: 2.9582 2.9582 7.5592
angles: 90.00 90.00 90.00
Last column: nearest neighbours and their distance in Å.
Fractional positions:
Mn1 0.0000 0.0000 0.0000  5 P 2.29-2.32
Hg1 0.5000 0.5000 0.7186  4 Hg 2.96, 4 Mn 2.98, 1 P 3.07
P1 0.0000 0.0000 0.3066  1 Mn 2.32, 4 P 2.51
P2 0.5000 0.5000 0.1242  4 Mn 2.29, 4 P 2.51

=====

# 4
MnHg3P: optimized geometry, PBE.

Calculated values
DOS at the Fermi energy (states/eV/atom): 0.5522
Offset from the most stable computed form (eV/atom): 0.0000
Space group: Pm-3m (221)
Total energy (eV per atom): -2.392

abc: 5.1280 5.1280 5.1280
angles: 90.00 90.00 90.00
Last column: nearest neighbours and their distance in Å.
Fractional positions:
Mn1 0.0000 0.0000 0.0000  12 Hg 3.63
Hg1 0.0000 0.5000 0.5000  2 P 2.56
Hg2 0.5000 0.0000 0.5000  2 P 2.56
Hg3 0.5000 0.5000 0.0000  2 P 2.56
P1 0.5000 0.5000 0.5000  6 Hg 2.56

=====

# 5
MnHgP2: optimized geometry, PBE.

Calculated values
DOS at the Fermi energy (states/eV/atom): 0.4164
Space group: R-3m (166)
Total energy (eV per atom): -5.080

abc: 10.0170 10.0170 10.0170
angles: 16.57 16.57 16.57
Last column: nearest neighbours and their distance in Å.
Fractional positions:
Mn1 0.0000 0.0000 0.0000  6 P 2.31
Hg1 0.5000 0.5000 0.5000  6 Hg 2.89
P1 0.2792 0.2792 0.2792  3 Mn 2.31
P2 0.7208 0.7208 0.7208  3 Mn 2.31

=====

# 6
MnHgP: optimized geometry, PBE.

Calculated values
DOS at the Fermi energy (states/eV/atom): 0.7934
Offset from the most stable computed form (eV/atom): 0.2673
Space group: F-43m (216)
Total energy (eV per atom): -4.564

abc: 4.3652 4.3652 4.3652
angles: 60.00 60.00 60.00
Last column: nearest neighbours and their distance in Å.
Fractional positions:
Mn1 0.0000 0.0000 0.0000  4 P 2.67
Hg1 0.5000 0.5000 0.5000  4 P 2.67
P1 0.7500 0.7500 0.7500  4 Hg 2.67, 4 Mn 2.67

=====

# 7
MnHgP2: optimized geometry, PBE.

Calculated values
DOS at the Fermi energy (states/eV/atom): 0.5641
Space group: I-4m2 (119)
Total energy (eV per atom): -4.568

abc: 5.6549 5.6549 5.6549
angles: 141.28 141.28 55.92
Last column: nearest neighbours and their distance in Å.
Fractional positions:
Mn1 0.0000 0.0000 0.0000  4 P 2.65
Hg1 0.7500 0.2500 0.5000  4 P 2.65
P1 0.2500 0.7500 0.5000  4 Hg 2.65
P2 0.5000 0.5000 0.0000  4 Mn 2.65

=====

# 8
MnHgP2: optimized geometry, PBE.

Calculated values
DOS at the Fermi energy (states/eV/atom): 0.4825
Space group: I4/mmm (139)
Total energy (eV per atom): -4.531

abc: 4.9794 4.9794 4.9794
angles: 131.30 131.30 71.34
Last column: nearest neighbours and their distance in Å.
Fractional positions:
Mn1 0.0000 0.0000 0.0000  8 P 2.88, 4 Hg 2.90
Hg1 0.5000 0.5000 0.0000  8 P 2.88, 4 Mn 2.90
P1 0.2500 0.7500 0.5000  4 Hg 2.88, 4 Mn 2.88, 4 P 2.90
P2 0.7500 0.2500 0.5000  4 Hg 2.88, 4 Mn 2.88, 4 P 2.90

=====

# 9
Mn2HgP: optimized geometry, PBE.

Calculated values
DOS at the Fermi energy (states/eV/atom): 0.6096
Space group: Cmmm (65)
Total energy (eV per atom): -5.687

abc: 4.5018 4.5018 3.2213
angles: 90.00 90.00 100.75
Last column: nearest neighbours and their distance in Å.
Fractional positions:
Mn1 0.0000 0.5000 0.0000  4 Hg 2.77, 4 P 2.77, 2 Mn 2.87
Mn2 0.5000 0.0000 0.0000  4 Hg 2.77, 4 P 2.77, 2 Mn 2.87
Hg1 0.0000 0.0000 0.5000  8 Mn 2.77, 2 P 2.87
P1 0.5000 0.5000 0.5000  8 Mn 2.77, 2 Hg 2.87

=====

# 10
Mn2HgP: optimized geometry, PBE.

Calculated values
DOS at the Fermi energy (states/eV/atom): 0.7772
Space group: P4mm (99)
Total energy (eV per atom): -5.906

abc: 2.9815 2.9815 7.0138
angles: 90.00 90.00 90.00
Last column: nearest neighbours and their distance in Å.
Fractional positions:
Mn1 0.0000 0.0000 0.0000  1 P 2.57, 4 Mn 2.70
Mn2 0.5000 0.5000 0.2395  4 P 2.29
Hg1 0.5000 0.5000 0.7079  5 Mn 2.94-3.29, 4 Hg 2.98, 4 P 3.19
P1 0.0000 0.0000 0.3662  4 Mn 2.29

=====

# 11
MnHgP2: optimized geometry, PBE.

Calculated values
DOS at the Fermi energy (states/eV/atom): 0.5192
Space group: I-42d (122)
Total energy (eV per atom): -4.902

abc: 6.6513 6.6513 6.6513
angles: 130.44 130.44 72.71
Last column: nearest neighbours and their distance in Å.
Fractional positions:
Mn1 0.0000 0.0000 0.0000  4 P 2.17
Mn2 0.7500 0.2500 0.5000  4 P 2.17
Hg1 0.2500 0.7500 0.5000  4 P 2.65
Hg2 0.5000 0.5000 0.0000  4 P 2.65
P1 0.0499 0.6250 0.9249  2 Mn 2.17
P2 0.3750 0.2999 0.4249  2 Mn 2.17
P3 0.7001 0.1250 0.0751  2 Mn 2.17
P4 0.8750 0.9501 0.5751  2 Mn 2.17

=====

# 12
Mn2HgP: optimized geometry, PBE.

Calculated values
DOS at the Fermi energy (states/eV/atom): 0.7236
Space group: Pmm2 (25)
Total energy (eV per atom): -5.991

abc: 2.9653 3.0379 6.7903
angles: 90.00 90.00 90.00
Last column: nearest neighbours and their distance in Å.
Fractional positions:
Mn1 0.0000 0.0000 0.0000  2 P 2.28
Mn2 0.5000 0.0000 0.3615  4 P 2.25
Hg1 0.5000 0.5000 0.7116  6 Mn 2.82-2.89, 4 Hg 2.97-3.04
P1 0.0000 0.5000 0.2509  6 Mn 2.25-2.28

=====

| no. | energy of formation (eV/atom) |
| --- | --- |
| 1 | 0.869 |
| 2 | 0.349 |
| 3 | 0.195 |
| 4 | 0.705 |
| 5 | -0.008 |
| 6 | 0.397 |
| 7 | 0.505 |
| 8 | 0.542 |
| 9 | 0.325 |
| 10 | 0.106 |
| 11 | 0.171 |
| 12 | 0.022 |